[1]
Below is a relaxed Mg2Cd4In2Hg crystal, with properties calculated at the PBE level.

a = 3.3259 Å, b = 3.3259 Å, c = 22.6379 Å
α = 90.00°, β = 90.00°, γ = 120.00°
Element x y z (fractional)
Cd: 0.0000 0.0000 0.7639
Cd: 0.0000 0.0000 0.5566
Cd: 0.6667 0.3333 0.0786
Cd: 0.6667 0.3333 0.8706
In: 0.6667 0.3333 0.2084
In: 0.6667 0.3333 0.4408
Hg: 0.0000 0.0000 0.3237
Mg: 0.0000 0.0000 0.9743
Mg: 0.6667 0.3333 0.6602

Properties
Space group = P3m1
Density of states at the Fermi level = 4.731 states/eV per cell
DFT total energy = -1.4026 eV per atom


[2]
Below is a relaxed Mg2CdIn4Hg2 crystal, with properties calculated at the PBE level.

a = 3.2838 Å, b = 3.2838 Å, c = 24.3041 Å
α = 90.00°, β = 90.00°, γ = 120.00°
Element x y z (fractional)
In: 0.0000 0.0000 0.7622
In: 0.6667 0.3333 0.8759
In: 0.0000 0.0000 0.5470
In: 0.6667 0.3333 0.0881
Mg: 0.6667 0.3333 0.6549
Mg: 0.0000 0.0000 0.9833
Hg: 0.6667 0.3333 0.2111
Hg: 0.6667 0.3333 0.4325
Cd: 0.0000 0.0000 0.3221

Properties
Space group = P3m1
Density of states at the Fermi level = 3.881 states/eV per cell
DFT total energy = -1.7310 eV per atom


[3]
Below is a relaxed Mg5CdIn2Hg2 crystal, with properties calculated at the PBE level.

a = 3.2727 Å, b = 12.0672 Å, c = 12.0672 Å
α = 90.00°, β = 90.00°, γ = 90.00°
Element x y z (fractional)
Cd: 0.0000 0.0000 0.0000
Cd: 0.0000 0.5000 0.5000
In: 0.0000 0.6795 0.1795
In: 0.0000 0.8205 0.6795
In: 0.0000 0.3205 0.8205
In: 0.0000 0.1795 0.3205
Mg: 0.5000 0.0000 0.5000
Mg: 0.5000 0.2931 0.5130
Mg: 0.5000 0.5130 0.7069
Mg: 0.5000 0.2069 0.0130
Mg: 0.5000 0.9870 0.2069
Mg: 0.5000 0.5000 0.0000
Mg: 0.5000 0.7931 0.9870
Mg: 0.5000 0.0130 0.7931
Mg: 0.5000 0.4870 0.2931
Mg: 0.5000 0.7069 0.4870
Hg: 0.0000 0.1424 0.6424
Hg: 0.0000 0.8576 0.3576
Hg: 0.0000 0.6424 0.8576
Hg: 0.0000 0.3576 0.1424

Properties
Space group = P4/mbm
Density of states at the Fermi level = 8.334 states/eV per cell
DFT total energy = -1.5746 eV per atom


[4]
Below is a relaxed MgCdIn2Hg8 crystal, with properties calculated at the PBE level.

a = 6.3598 Å, b = 6.3598 Å, c = 9.0459 Å
α = 90.00°, β = 90.00°, γ = 120.00°
Element x y z (fractional)
Hg: 0.6537 0.8269 0.2580
Hg: 0.3463 0.1731 0.7420
Hg: 0.1731 0.8269 0.2580
Hg: 0.3333 0.6667 0.5742
Hg: 0.6667 0.3333 0.4258
Hg: 0.1731 0.3463 0.2580
Hg: 0.8269 0.6537 0.7420
Hg: 0.8269 0.1731 0.7420
In: 0.3333 0.6667 0.9271
In: 0.6667 0.3333 0.0729
Cd: 0.0000 0.0000 0.0000
Mg: 0.0000 0.0000 0.5000

Properties
Space group = P-3m1
Density of states at the Fermi level = 3.689 states/eV per cell
DFT total energy = -0.8380 eV per atom


[5]
Below is a relaxed MgCd2InHg6 crystal, with properties calculated at the PBE level.

a = 7.5653 Å, b = 7.5653 Å, c = 10.1123 Å
α = 102.89°, β = 102.89°, γ = 107.02°
Element x y z (fractional)
Cd: 0.5176 0.7927 0.1515
Cd: 0.4824 0.2073 0.8485
Cd: 0.2073 0.4824 0.3485
Cd: 0.7927 0.5176 0.6515
In: 0.0075 0.9925 0.7500
In: 0.9925 0.0075 0.2500
Hg: 0.3365 0.3565 0.6067
Hg: 0.6435 0.6635 0.8933
Hg: 0.8793 0.1739 0.5085
Hg: 0.4291 0.0898 0.3714
Hg: 0.6635 0.6435 0.3933
Hg: 0.5709 0.9102 0.6286
Hg: 0.1739 0.8793 0.0085
Hg: 0.8261 0.1207 0.9915
Hg: 0.9102 0.5709 0.1286
Hg: 0.0898 0.4291 0.8714
Hg: 0.3565 0.3365 0.1067
Hg: 0.1207 0.8261 0.4915
Mg: 0.7221 0.2779 0.2500
Mg: 0.2779 0.7221 0.7500

Properties
Space group = C2/c
Density of states at the Fermi level = 5.458 states/eV per cell
DFT total energy = -0.7943 eV per atom


[6]
Below is a relaxed Mg2Cd2InHg4 crystal, with properties calculated at the PBE level.

a = 4.2699 Å, b = 7.1912 Å, c = 7.3666 Å
α = 103.00°, β = 90.00°, γ = 107.27°
Element x y z (fractional)
Hg: 0.7762 0.5523 0.6697
Hg: 0.5430 0.0861 0.3252
Hg: 0.2238 0.4477 0.3303
Hg: 0.4570 0.9139 0.6748
Mg: 0.8833 0.7665 0.3501
Mg: 0.1167 0.2335 0.6499
Cd: 0.3305 0.6610 0.0025
Cd: 0.6695 0.3390 0.9975
In: 0.0000 0.0000 0.0000

Properties
Space group = C2/m
Density of states at the Fermi level = 2.269 states/eV per cell
DFT total energy = -1.0620 eV per atom


[7]
Below is a relaxed Mg5CdInHg2 crystal, with properties calculated at the PBE level.

a = 7.7684 Å, b = 7.7684 Å, c = 9.0752 Å
α = 115.34°, β = 115.34°, γ = 90.00°
Element x y z (fractional)
Hg: 0.1260 0.3740 0.0000
Hg: 0.8740 0.6260 0.0000
Hg: 0.3740 0.8740 0.0000
Hg: 0.6260 0.1260 0.0000
Mg: 0.9259 0.4259 0.2791
Mg: 0.0741 0.5741 0.7209
Mg: 0.6468 0.1468 0.7209
Mg: 0.4259 0.3532 0.2791
Mg: 0.5000 0.5000 0.0000
Mg: 0.8532 0.9259 0.2791
Mg: 0.1468 0.0741 0.7209
Mg: 0.0000 0.0000 0.0000
Mg: 0.3532 0.8532 0.2791
Mg: 0.5741 0.6468 0.7209
Cd: 0.7500 0.7500 0.5000
Cd: 0.2500 0.2500 0.5000
In: 0.2500 0.7500 0.5000
In: 0.7500 0.2500 0.5000

Properties
Space group = I4/mcm
Density of states at the Fermi level = 6.370 states/eV per cell
DFT total energy = -1.3753 eV per atom


[8]
Below is a relaxed MgCdInHg3 crystal, with properties calculated at the PBE level.

a = 3.7164 Å, b = 7.7736 Å, c = 10.3534 Å
α = 90.00°, β = 90.00°, γ = 103.83°
Element x y z (fractional)
Hg: 0.1024 0.2049 0.7500
Hg: 0.3394 0.6787 0.5036
Hg: 0.6606 0.3213 0.0036
Hg: 0.3394 0.6787 0.9964
Hg: 0.6606 0.3213 0.4964
Hg: 0.8976 0.7951 0.2500
In: 0.7689 0.5378 0.7500
In: 0.2311 0.4622 0.2500
Cd: 0.5557 0.1113 0.2500
Cd: 0.4443 0.8887 0.7500
Mg: 0.0000 0.0000 0.5000
Mg: 0.0000 0.0000 0.0000

Properties
Space group = Cmcm
Density of states at the Fermi level = 3.602 states/eV per cell
DFT total energy = -1.0654 eV per atom


[9]
Below is a relaxed MgCd2InHg4 crystal, with properties calculated at the PBE level.

a = 8.4636 Å, b = 8.4636 Å, c = 8.7309 Å
α = 121.05°, β = 121.05°, γ = 89.90°
Element x y z (fractional)
Hg: 0.7472 0.7528 0.5077
Hg: 0.2578 0.7516 0.5047
Hg: 0.7472 0.7528 0.9923
Hg: 0.2516 0.7578 0.0047
Hg: 0.2528 0.2472 0.4923
Hg: 0.7484 0.2422 0.9953
Hg: 0.7422 0.2484 0.4953
Hg: 0.2528 0.2472 0.0077
Mg: 0.5000 0.5000 0.5000
Mg: 0.0000 0.0000 0.0000
In: 0.0000 0.5000 0.0000
In: 0.0000 0.5000 0.5000
Cd: 0.5000 0.0000 0.5000
Cd: 0.0000 0.0000 0.5000
Cd: 0.5000 0.0000 0.0000
Cd: 0.5000 0.5000 0.0000

Properties
Space group = Imma
Density of states at the Fermi level = 4.132 states/eV per cell
DFT total energy = -0.9208 eV per atom


[10]
Below is a relaxed MgCd2In2Hg5 crystal, with properties calculated at the PBE level.

a = 3.3987 Å, b = 12.2193 Å, c = 12.2193 Å
α = 90.00°, β = 90.00°, γ = 90.00°
Element x y z (fractional)
Cd: 0.0000 0.8447 0.3447
Cd: 0.0000 0.1553 0.6553
Cd: 0.0000 0.6553 0.8447
Cd: 0.0000 0.3447 0.1553
Hg: 0.5000 0.6969 0.4914
Hg: 0.5000 0.5086 0.6969
Hg: 0.5000 0.1969 0.0086
Hg: 0.5000 0.9914 0.1969
Hg: 0.5000 0.0086 0.8031
Hg: 0.5000 0.5000 0.0000
Hg: 0.5000 0.3031 0.5086
Hg: 0.5000 0.4914 0.3031
Hg: 0.5000 0.8031 0.9914
Hg: 0.5000 0.0000 0.5000
In: 0.0000 0.6689 0.1689
In: 0.0000 0.8311 0.6689
In: 0.0000 0.3311 0.8311
In: 0.0000 0.1689 0.3311
Mg: 0.0000 0.0000 0.0000
Mg: 0.0000 0.5000 0.5000

Properties
Space group = P4/mbm
Density of states at the Fermi level = 4.963 states/eV per cell
DFT total energy = -1.0618 eV per atom


[11]
Below is a relaxed MgCdInHg6 crystal, with properties calculated at the PBE level.

a = 10.4820 Å, b = 7.4341 Å, c = 9.2090 Å
α = 113.81°, β = 124.69°, γ = 90.00°
Element x y z (fractional)
Hg: 0.6402 0.4259 0.7723
Hg: 0.8680 0.1536 0.2277
Hg: 0.3598 0.5741 0.2277
Hg: 0.1584 0.9084 0.3168
Hg: 0.3598 0.1536 0.2277
Hg: 0.1320 0.8464 0.7723
Hg: 0.6402 0.8464 0.7723
Hg: 0.6967 0.4467 0.3935
Hg: 0.3033 0.5533 0.6065
Hg: 0.1320 0.4259 0.7723
Hg: 0.8416 0.0916 0.6832
Hg: 0.8680 0.5741 0.2277
In: 0.0725 0.3225 0.1450
In: 0.9275 0.6775 0.8550
Cd: 0.5000 0.5000 0.0000
Cd: 0.5000 0.0000 0.0000
Mg: 0.0000 0.0000 0.5000
Mg: 0.5000 0.0000 0.5000

Properties
Space group = Imma
Density of states at the Fermi level = 7.218 states/eV per cell
DFT total energy = -0.7512 eV per atom


[12]
Below is a relaxed MgCd4In2Hg2 crystal, with properties calculated at the PBE level.

a = 3.4230 Å, b = 3.4230 Å, c = 21.8708 Å
α = 90.00°, β = 90.00°, γ = 120.00°
Element x y z (fractional)
Cd: 0.0000 0.0000 0.7643
Cd: 0.6667 0.3333 0.8710
Cd: 0.0000 0.0000 0.5494
Cd: 0.6667 0.3333 0.0837
In: 0.6667 0.3333 0.4354
In: 0.6667 0.3333 0.2146
Hg: 0.6667 0.3333 0.6570
Hg: 0.0000 0.0000 0.9772
Mg: 0.0000 0.0000 0.3244

Properties
Space group = P3m1
Density of states at the Fermi level = 1.198 states/eV per cell
DFT total energy = -1.2475 eV per atom


What did the fourth record say?
Below is a relaxed MgCdIn2Hg8 crystal, with properties calculated at the PBE level.

a = 6.3598 Å, b = 6.3598 Å, c = 9.0459 Å
α = 90.00°, β = 90.00°, γ = 120.00°
Element x y z (fractional)
Hg: 0.6537 0.8269 0.2580
Hg: 0.3463 0.1731 0.7420
Hg: 0.1731 0.8269 0.2580
Hg: 0.3333 0.6667 0.5742
Hg: 0.6667 0.3333 0.4258
Hg: 0.1731 0.3463 0.2580
Hg: 0.8269 0.6537 0.7420
Hg: 0.8269 0.1731 0.7420
In: 0.3333 0.6667 0.9271
In: 0.6667 0.3333 0.0729
Cd: 0.0000 0.0000 0.0000
Mg: 0.0000 0.0000 0.5000

Properties
Space group = P-3m1
Density of states at the Fermi level = 3.689 states/eV per cell
DFT total energy = -0.8380 eV per atom